First-principles (GGA+U) data for a relaxed DyNiO3 crystal, as listed in Alexandria.

E in eV per cell: -131.86
Density of states at the Fermi level in states/eV per atom: 0.181
Space-group type: Pnma, No. 62

a b c (Å): 5.205 5.639 7.455
angles (deg): 90.00 90.00 90.00
Atoms (fractional coordinates):
1 O 0.197 0.190 0.948
2 O 0.105 0.470 0.250
3 O 0.303 0.690 0.552
4 O 0.697 0.310 0.448
5 O 0.197 0.190 0.552
6 O 0.605 0.030 0.750
7 O 0.895 0.530 0.750
8 O 0.395 0.970 0.250
9 O 0.803 0.810 0.052
10 O 0.803 0.810 0.448
11 O 0.697 0.310 0.052
12 O 0.303 0.690 0.948
13 Ni 0.500 0.000 0.500
14 Ni 0.000 0.500 0.500
15 Ni 0.000 0.500 0.000
16 Ni 0.500 0.000 0.000
17 Dy 0.978 0.079 0.250
18 Dy 0.022 0.921 0.750
19 Dy 0.522 0.579 0.250
20 Dy 0.478 0.421 0.750